Record 1
BaScHgI6: relaxed, GGA-PBE.

Cell: 8.1586 8.1586 7.1639 Å, 90.00 90.00 120.00°
Space group P312 (No. 149)
One atom of each set of equivalent atoms:
1 Ba 0.0000 0.0000 0.0000 x1
2 Sc 0.3333 0.6667 0.0000 x1
3 Hg 0.6667 0.3333 0.5000 x1
4 I 0.0401 0.3822 0.2412 x6

## Properties
Energy relative to the elements, uncorrected = -1.080 eV per atom
DOS at the Fermi energy = 0.582 states/eV/atom
M_tot = 0.00 Bohr magnetons per cell

***

Record 2
TcAsCl2: relaxed, GGA-PBE.

Cell: 8.886 3.105 7.563 Å, 90.00 108.09 90.00°
Space group Cm (No. 8)
One atom of each set of equivalent atoms:
1 Tc 0.000 0.000 0.000 x2
2 As 0.279 0.000 0.000 x2
3 Cl 0.098 0.500 0.270 x2
4 Cl 0.455 0.000 0.730 x2

## Properties
Energy relative to the elements, uncorrected = -0.215 eV per atom
DOS at the Fermi energy = 0.439 states/eV/atom
M_tot = 0.00 Bohr magnetons per cell

***

Record 3
Tb2Ga2SbRh5: relaxed, GGA-PBE.

Cell: 9.820 9.820 3.626 Å, 90.00 90.00 90.00°
Space group P4/mbm (No. 127)
One atom of each set of equivalent atoms:
1 Tb 0.174 0.326 0.000 x4
2 Ga 0.122 0.622 0.000 x4
3 Sb 0.000 0.000 0.000 x2
4 Rh 0.000 0.500 0.500 x2
5 Rh 0.069 0.792 0.500 x8

## Properties
Energy relative to the elements, uncorrected = -0.818 eV per atom
DOS at the Fermi energy = 0.277 states/eV/atom
M_tot = 0.00 Bohr magnetons per cell

***

Record 4
Cs2CaGa2Br6: relaxed, GGA-PBE.

Cell: 12.853 8.145 9.012 Å, 90.00 111.68 90.00°
Space group C2/m (No. 12)
One atom of each set of equivalent atoms:
1 Cs 0.205 0.000 0.150 x4
2 Ca 0.000 0.000 0.500 x2
3 Ga 0.082 0.500 0.168 x4
4 Br 0.041 0.241 0.768 x8
5 Br 0.234 0.000 0.553 x4

## Properties
Energy relative to the elements, uncorrected = -1.377 eV per atom
DOS at the Fermi energy = 0.000 states/eV/atom
M_tot = 0.00 Bohr magnetons per cell

***

Record 5
YHoAlRh: relaxed, GGA-PBE.

Cell: 7.052 7.052 7.052 Å, 90.00 90.00 90.00°
Space group F-43m (No. 216)
One atom of each set of equivalent atoms:
1 Y 0.000 0.000 0.000 x4
2 Ho 0.000 0.000 0.500 x4
3 Al 0.250 0.250 0.750 x4
4 Rh 0.250 0.250 0.250 x4

## Properties
DOS at the Fermi energy = 0.698 states/eV/atom
ΔE_f = -2.28 eV per formula unit
M_tot = 0.00 Bohr magnetons per cell

***

Record 6
Rb3Pr2BiSe6: relaxed, GGA-PBE.

Cell: 7.611 13.181 8.420 Å, 90.00 107.54 90.00°
Space group C2/m (No. 12)
One atom of each set of equivalent atoms:
1 Rb 0.000 0.000 0.000 x2
2 Rb 0.000 0.334 0.000 x4
3 Pr 0.000 0.167 0.500 x4
4 Bi 0.000 0.500 0.500 x2
5 Se 0.233 0.334 0.702 x8
6 Se 0.236 0.000 0.702 x4

## Properties
Energy relative to the elements, uncorrected = -1.416 eV per atom
DOS at the Fermi energy = 0.000 states/eV/atom
M_tot = 0.00 Bohr magnetons per cell

***

Record 7
SmBiPd2: relaxed, GGA-PBE.

Cell: 4.963 6.852 5.093 Å, 90.00 90.00 90.00°
Space group Pmmn (No. 59, origin choice 2)
One atom of each set of equivalent atoms:
1 Sm 0.250 0.250 0.215 x2
2 Bi 0.250 0.750 0.230 x2
3 Pd 0.250 0.007 0.688 x4

## Properties
DOS at the Fermi energy = 0.309 states/eV/atom
ΔE_f = -2.91 eV per formula unit
M_tot = 0.00 Bohr magnetons per cell

***

Record 8
Sr2InGa7: relaxed, GGA-PBE.

Cell: 4.544 4.544 11.019 Å, 90.00 90.00 90.00°
Space group P-4m2 (No. 115)
One atom of each set of equivalent atoms:
1 Sr 0.000 0.500 0.242 x2
2 In 0.000 0.000 0.500 x1
3 Ga 0.000 0.000 0.000 x1
4 Ga 0.000 0.500 0.642 x2
5 Ga 0.000 0.500 0.873 x2
6 Ga 0.500 0.500 0.000 x1
7 Ga 0.500 0.500 0.500 x1

## Properties
DOS at the Fermi energy = 0.432 states/eV/atom
ΔE_f = -3.89 eV per formula unit
M_tot = 0.00 Bohr magnetons per cell

***

Record 9
CeDy3Ho8: relaxed, GGA-PBE.

Cell: 7.617 7.617 15.274 Å, 90.00 90.00 90.00°
Space group I4/mmm (No. 139)
One atom of each set of equivalent atoms:
1 Ce 0.000 0.000 0.000 x2
2 Dy 0.000 0.000 0.500 x2
3 Dy 0.000 0.500 0.250 x4
4 Ho 0.248 0.248 0.124 x16

## Properties
DOS at the Fermi energy = 1.420 states/eV/atom
ΔE_f = 9.22 eV per formula unit
M_tot = 3.31 Bohr magnetons per cell

***

Record 10
LiMg5Zn4: relaxed, GGA-PBE.

Cell: 3.329 3.329 16.573 Å, 90.00 90.00 90.00°
Space group P4/mmm (No. 123)
One atom of each set of equivalent atoms:
1 Li 0.000 0.000 0.000 x1
2 Mg 0.500 0.500 0.107 x2
3 Mg 0.500 0.500 0.304 x2
4 Mg 0.500 0.500 0.500 x1
5 Zn 0.000 0.000 0.205 x2
6 Zn 0.000 0.000 0.402 x2

## Properties
DOS at the Fermi energy = 0.320 states/eV/atom
ΔE_f = -0.77 eV per formula unit
M_tot = 0.00 Bohr magnetons per cell

***

Record 11
ErSiPt2: relaxed, GGA-PBE.

Cell: 7.268 6.979 5.496 Å, 90.00 90.00 90.00°
Space group Pnma (No. 62)
One atom of each set of equivalent atoms:
1 Er 0.025 0.250 0.135 x4
2 Si 0.120 0.750 0.365 x4
3 Pt 0.182 0.050 0.592 x8

## Properties
Energy relative to the elements, uncorrected = -1.192 eV per atom
DOS at the Fermi energy = 0.387 states/eV/atom
M_tot = 0.00 Bohr magnetons per cell

***

Record 12
PuFe2Si2C: relaxed, GGA-PBE.

Cell: 3.891 3.891 5.145 Å, 90.00 90.00 90.00°
Space group P4/mmm (No. 123)
One atom of each set of equivalent atoms:
1 Pu 0.000 0.000 0.000 x1
2 Fe 0.000 0.500 0.500 x2
3 Si 0.500 0.500 0.228 x2
4 C 0.000 0.000 0.500 x1

## Properties
Energy relative to the elements, uncorrected = -0.371 eV per atom
DOS at the Fermi energy = 1.355 states/eV/atom
M_tot = 7.29 Bohr magnetons per cell